1.
Density functional theory data (PBE-GGA) for LaPr3Dy2Er6 after structural relaxation.

Results
- E_form: 20 meV/atom
- Fermi-level density of states: 14.36 states/eV per cell
- Calculated volume: 390 Å³/cell

abc: 6.224 6.224 11.803
angles: 95.03 95.03 119.99
Sites, in units of the cell vectors:
La: 0.000 0.000 0.000
Pr: 0.167 0.833 0.500
Pr: 0.833 0.167 0.500
Pr: 0.500 0.500 0.500
Dy: 0.333 0.667 0.000
Dy: 0.667 0.333 0.000
Er: 0.917 0.583 0.752
Er: 0.748 0.748 0.248
Er: 0.083 0.417 0.248
Er: 0.583 0.917 0.752
Er: 0.252 0.252 0.752
Er: 0.417 0.083 0.248


2.
Density functional theory data (PBE-GGA) for NaPdRhO4 after structural relaxation.

Results
- Calculated volume: 178 Å³/cell
- Formation energy from raw total energies: -0.865 eV/atom

abc: 6.334 6.309 6.312
angles: 120.02 90.00 120.13
Sites, in units of the cell vectors:
Na: 0.878 0.756 0.128
Na: 0.122 0.244 0.872
Pd: 0.500 0.500 0.500
Pd: 0.000 0.500 0.500
Rh: 0.500 0.000 0.500
Rh: 0.500 0.000 0.000
O: 0.730 0.460 0.691
O: 0.311 0.040 0.270
O: 0.729 0.040 0.270
O: 0.730 0.460 0.269
O: 0.270 0.540 0.731
O: 0.689 0.960 0.730
O: 0.271 0.960 0.730
O: 0.270 0.540 0.309


3.
Density functional theory data (PBE-GGA) for Li2Al2GaAu5 after structural relaxation.

Results
- E_form: -373 meV/atom
- Fermi-level density of states: 5.84 states/eV per cell
- Calculated volume: 370 Å³/cell

abc: 3.225 10.707 10.707
angles: 90.00 90.00 90.00
Sites, in units of the cell vectors:
Li: 0.000 0.664 0.164
Li: 0.000 0.336 0.836
Li: 0.000 0.164 0.336
Li: 0.000 0.836 0.664
Al: 0.000 0.135 0.635
Al: 0.000 0.865 0.365
Al: 0.000 0.635 0.865
Al: 0.000 0.365 0.135
Ga: 0.000 0.000 0.000
Ga: 0.000 0.500 0.500
Au: 0.500 0.195 0.059
Au: 0.500 0.805 0.941
Au: 0.500 0.059 0.805
Au: 0.500 0.695 0.441
Au: 0.500 0.941 0.195
Au: 0.500 0.305 0.559
Au: 0.500 0.559 0.695
Au: 0.500 0.441 0.305
Au: 0.500 0.500 0.000
Au: 0.500 0.000 0.500


4.
Density functional theory data (PBE-GGA) for Ac3La2Sm after structural relaxation.

Results
- E_form: 90 meV/atom
- E above lowest polymorph: 40 meV per atom
- Fermi-level density of states: 17.47 states/eV per cell
- Calculated volume: 489 Å³/cell

abc: 7.245 9.569 7.245
angles: 82.18 83.49 97.82
Sites, in units of the cell vectors:
Ac: 0.568 0.250 0.568
Ac: 0.432 0.750 0.432
Ac: 0.138 0.983 0.696
Ac: 0.696 0.517 0.138
Ac: 0.304 0.483 0.862
Ac: 0.862 0.017 0.304
La: 0.880 0.619 0.615
La: 0.385 0.119 0.120
La: 0.615 0.881 0.880
La: 0.120 0.381 0.385
Sm: 0.110 0.750 0.110
Sm: 0.890 0.250 0.890


5.
Density functional theory data (PBE-GGA) for Li2Sm2ErTl2 after structural relaxation.

Results
- E_form: -180 meV/atom
- Fermi-level density of states: 5.30 states/eV per cell
- Calculated volume: 183 Å³/cell

abc: 4.829 4.829 9.493
angles: 75.27 75.27 60.00
Sites, in units of the cell vectors:
Li: 0.609 0.609 0.173
Li: 0.391 0.391 0.827
Sm: 0.126 0.126 0.622
Sm: 0.874 0.874 0.378
Er: 0.000 0.000 0.000
Tl: 0.735 0.735 0.796
Tl: 0.265 0.265 0.204


6.
Density functional theory data (PBE-GGA) for ThZnCo2 after structural relaxation.

Results
- E_form: 28 meV/atom
- Fermi-level density of states: 16.60 states/eV per cell
- Calculated volume: 304 Å³/cell

abc: 4.560 5.056 13.171
angles: 90.00 90.00 90.00
Each line ends with the local moment (μB).
Sites, in units of the cell vectors:
Th: 0.000 0.250 0.592  0.04
Th: 0.500 0.750 0.111  -0.20
Th: 0.000 0.750 0.408  0.04
Th: 0.500 0.250 0.889  -0.20
Zn: 0.500 0.750 0.668  -0.01
Zn: 0.500 0.250 0.332  -0.01
Zn: 0.000 0.250 0.276  -0.01
Zn: 0.000 0.750 0.724  -0.01
Co: 0.000 0.000 0.000  0.77
Co: 0.500 0.500 0.500  -0.18
Co: 0.261 0.750 0.878  0.92
Co: 0.739 0.250 0.122  0.92
Co: 0.739 0.750 0.878  0.92
Co: 0.261 0.250 0.122  0.92
Co: 0.000 0.500 0.000  0.77
Co: 0.500 0.000 0.500  -0.18


7.
Density functional theory data (PBE-GGA) for ScSbPb after structural relaxation.

Results
- E above lowest polymorph: 265 meV per atom
- Fermi-level density of states: 2.87 states/eV per cell
- Calculated volume: 80 Å³/cell
- Formation energy from raw total energies: -0.107 eV/atom

abc: 5.333 5.333 3.239
angles: 90.00 90.00 120.00
Each line ends with the local moment (μB).
Sites, in units of the cell vectors:
Pb: 0.000 0.000 0.089  0.01
Sb: 0.667 0.333 0.296  0.00
Sc: 0.333 0.667 0.615  0.18


8.
Density functional theory data (PBE-GGA) for MgPt3Cl after structural relaxation.

Results
- E above lowest polymorph: 468 meV per atom
- Fermi-level density of states: 11.13 states/eV per cell
- Calculated volume: 106 Å³/cell
- Formation energy from raw total energies: 1.088 eV/atom

abc: 4.738 4.738 4.738
angles: 90.00 90.00 90.00
Sites, in units of the cell vectors:
Mg: 0.000 0.000 0.000
Pt: 0.000 0.500 0.000
Pt: 0.000 0.000 0.500
Pt: 0.500 0.000 0.000
Cl: 0.500 0.500 0.500


9.
Density functional theory data (PBE-GGA) for CaCu5Ge2 after structural relaxation.

Results
- E_form: -162 meV/atom
- Fermi-level density of states: 3.26 states/eV per cell
- Calculated volume: 127 Å³/cell

abc: 3.930 6.145 6.145
angles: 67.95 71.35 71.35
Sites, in units of the cell vectors:
Ca: 0.000 0.000 0.000
Cu: 0.000 0.500 0.500
Cu: 0.639 0.541 0.181
Cu: 0.361 0.459 0.819
Cu: 0.361 0.819 0.459
Cu: 0.639 0.181 0.541
Ge: 0.746 0.754 0.754
Ge: 0.254 0.246 0.246


10.
Density functional theory data (PBE-GGA) for Pm4NdDy after structural relaxation.

Results
- E_form: 258 meV/atom
- E above lowest polymorph: 245 meV per atom
- Fermi-level density of states: 10.28 states/eV per cell
- Calculated volume: 211 Å³/cell

abc: 6.687 6.687 6.687
angles: 60.00 60.00 60.00
Sites, in units of the cell vectors:
Pm: 0.626 0.626 0.123
Pm: 0.626 0.123 0.626
Pm: 0.626 0.626 0.626
Pm: 0.123 0.626 0.626
Nd: 0.250 0.250 0.250
Dy: 0.000 0.000 0.000


11.
Density functional theory data (PBE-GGA) for Al2BCBr after structural relaxation.

Results
- Fermi-level density of states: 1.72 states/eV per cell
- Calculated volume: 80 Å³/cell
- Formation energy from raw total energies: 1.488 eV/atom

abc: 4.114 4.727 4.114
angles: 90.00 90.00 90.00
Sites, in units of the cell vectors:
C: 0.500 0.500 0.500
B: 0.000 0.000 0.000
Al: 0.000 0.000 0.500
Al: 0.500 0.000 0.000
Br: 0.000 0.500 0.000


12.
Density functional theory data (PBE-GGA) for LiAcGaAu2 after structural relaxation.

Results
- E_form: -671 meV/atom
- Fermi-level density of states: 3.36 states/eV per cell
- Calculated volume: 112 Å³/cell

abc: 4.305 4.305 6.779
angles: 108.51 108.51 90.00
Sites, in units of the cell vectors:
Li: 0.750 0.250 0.500
Ac: 0.000 0.000 0.000
Ga: 0.250 0.750 0.500
Au: 0.620 0.620 0.240
Au: 0.380 0.380 0.760


13.
Density functional theory data (PBE-GGA) for Sr2Bi2O5 after structural relaxation.

Results
- E above lowest polymorph: 0 meV per atom
- Fermi-level density of states: 0.00 states/eV per cell
- Calculated volume: 356 Å³/cell
- Formation energy from raw total energies: -1.969 eV/atom

abc: 6.254 7.579 7.749
angles: 75.55 90.00 90.00
Sites, in units of the cell vectors:
Sr: 0.750 0.602 0.851
Sr: 0.250 0.398 0.149
Sr: 0.750 0.633 0.342
Sr: 0.250 0.367 0.658
Bi: 0.750 0.119 0.965
Bi: 0.250 0.881 0.035
Bi: 0.750 0.137 0.473
Bi: 0.250 0.863 0.527
O: 0.250 0.987 0.749
O: 0.508 0.314 0.928
O: 0.992 0.314 0.928
O: 0.750 0.013 0.251
O: 0.008 0.686 0.072
O: 0.492 0.686 0.072
O: 0.991 0.331 0.408
O: 0.509 0.331 0.408
O: 0.009 0.669 0.592
O: 0.491 0.669 0.592


14.
Density functional theory data (PBE-GGA) for Li2CeSe2 after structural relaxation.

Results
- Fermi-level density of states: 6.28 states/eV per cell
- Calculated volume: 116 Å³/cell
- Formation energy from raw total energies: -1.314 eV/atom

abc: 4.128 4.128 8.202
angles: 75.42 75.42 60.00
Each line ends with the local moment (μB).
Sites, in units of the cell vectors:
Li: 0.221 0.221 0.336  0.00
Li: 0.779 0.779 0.664  0.00
Ce: 0.000 0.000 0.000  1.07
Se: 0.587 0.587 0.240  -0.01
Se: 0.413 0.413 0.760  -0.01


15.
Density functional theory data (PBE-GGA) for Ac2Nd7Sm3 after structural relaxation.

Results
- E_form: 99 meV/atom
- E above lowest polymorph: 15 meV per atom
- Fermi-level density of states: 15.12 states/eV per cell
- Calculated volume: 444 Å³/cell

abc: 3.719 6.025 19.836
angles: 93.35 90.00 90.00
Sites, in units of the cell vectors:
Ac: 0.500 0.699 0.294
Ac: 0.500 0.301 0.706
Nd: 0.500 0.742 0.466
Nd: 0.500 0.258 0.534
Nd: 0.000 0.673 0.139
Nd: 0.000 0.000 0.000
Nd: 0.000 0.327 0.861
Nd: 0.500 0.824 0.829
Nd: 0.500 0.176 0.171
Sm: 0.500 0.500 0.000
Sm: 0.000 0.214 0.373
Sm: 0.000 0.786 0.627


16.
Density functional theory data (PBE-GGA) for LiNi2Se after structural relaxation.

Results
- Fermi-level density of states: 3.92 states/eV per cell
- Calculated volume: 55 Å³/cell
- Formation energy from raw total energies: -0.173 eV/atom

abc: 3.828 3.516 4.454
angles: 66.95 90.00 90.00
Sites, in units of the cell vectors:
Li: 0.500 0.737 0.653
Ni: 0.000 0.012 0.099
Ni: 0.500 0.449 0.224
Se: 0.000 0.301 0.524


17.
Density functional theory data (PBE-GGA) for Pb3ClO3 after structural relaxation.

Results
- E above lowest polymorph: 50 meV per atom
- Fermi-level density of states: 13.52 states/eV per cell
- Calculated volume: 346 Å³/cell
- Formation energy from raw total energies: -0.959 eV/atom

abc: 3.803 10.255 10.255
angles: 120.00 90.00 90.00
Sites, in units of the cell vectors:
Pb: 0.750 0.726 0.614
Pb: 0.750 0.888 0.274
Pb: 0.250 0.614 0.888
Pb: 0.750 0.386 0.112
Pb: 0.250 0.112 0.726
Pb: 0.250 0.274 0.386
Cl: 0.250 0.667 0.333
Cl: 0.750 0.333 0.667
O: 0.750 0.974 0.701
O: 0.750 0.728 0.026
O: 0.250 0.701 0.728
O: 0.750 0.299 0.272
O: 0.250 0.272 0.974
O: 0.250 0.026 0.299


18.
Density functional theory data (PBE-GGA) for Sc2GeH after structural relaxation.

Results
- E above lowest polymorph: 659 meV per atom
- Fermi-level density of states: 2.30 states/eV per cell
- Calculated volume: 72 Å³/cell

abc: 8.177 8.177 8.177
angles: 22.78 22.78 22.78
Sites, in units of the cell vectors:
Sc: 0.885 0.885 0.885
Sc: 0.115 0.115 0.115
H: 0.500 0.500 0.500
Ge: 0.000 0.000 0.000


19.
Density functional theory data (PBE-GGA) for TiNbCoCu after structural relaxation.

Results
- E_form: -50 meV/atom
- Fermi-level density of states: 3.99 states/eV per cell
- Calculated volume: 58 Å³/cell

abc: 4.345 4.345 4.345
angles: 60.00 60.00 60.00
Each line ends with the local moment (μB).
Sites, in units of the cell vectors:
Nb: 0.500 0.500 0.500  0.12
Co: 0.750 0.750 0.750  1.14
Cu: 0.250 0.250 0.250  0.01
Ti: 0.000 0.000 0.000  0.06